No. 1
PBE NpBeAs2, optimized geometry; crystal system = tetragonal; size of the total moment = 4.3 μB/f.u.; excess energy over the best structure of this formula in the dataset = 0.000 eV/atom; energy of formation = -0.365 eV/atom; SG = P4/nmm
1.0
3.923 0.000 0.000
0.000 3.923 0.000
0.000 0.000 9.350
Np As Be
2 4 2
Direct
0.000 0.500 0.258
0.500 0.000 0.742
0.500 0.500 0.500
0.000 0.500 0.859
0.500 0.000 0.141
0.000 0.000 0.500
0.500 0.500 0.000
0.000 0.000 0.000

No. 2
PBE NpBe2As2, optimized geometry; crystal system = tetragonal; size of the total moment = 3.9 μB/f.u.; energy of formation = -0.132 eV/atom; SG = I4/mmm
1.0
3.817 0.000 -2.149
-1.210 3.620 -2.149
0.388 0.539 5.153
Be As Np
2 2 1
Direct
0.869 0.369 0.237
0.131 0.631 0.763
0.750 0.750 0.000
0.250 0.250 0.000
0.500 0.000 0.500

No. 3
PBE NpBe3As3, optimized geometry; crystal system = trigonal; size of the total moment = 4.0 μB/f.u.; excess energy over the best structure of this formula in the dataset = 0.000 eV/atom; energy of formation = -0.272 eV/atom; SG = R-3
1.0
5.898 0.000 3.003
2.185 5.478 3.003
-0.199 -0.135 7.685
As Be Np
6 6 2
Direct
0.091 0.767 0.725
0.417 0.091 0.725
0.767 0.417 0.725
0.909 0.233 0.275
0.583 0.909 0.275
0.233 0.583 0.275
0.537 0.216 0.372
0.125 0.463 0.628
0.784 0.125 0.628
0.463 0.784 0.628
0.875 0.537 0.372
0.216 0.875 0.372
0.334 0.334 0.999
0.666 0.666 0.001

So what do the calculations give for VASP energy? Going down the list: -6.8568, -6.0705, -5.7102 eV/atom.